## w
CaPr2Zr | PBE | optimized geometry

```
data_CaPr2Zr
_chemical_formula_sum 'Ca1 Pr2 Zr1'
_cell_length_a 3.5822
_cell_length_b 3.5822
_cell_length_c 10.3720
_cell_angle_alpha 90.00
_cell_angle_beta 90.00
_cell_angle_gamma 90.00
_symmetry_space_group_name_H-M 'P 1'
_symmetry_Int_Tables_number 1
_symmetry_space_group_name_Hall 'P 1'
loop_
_atom_site_label
_atom_site_type_symbol
_atom_site_fract_x
_atom_site_fract_y
_atom_site_fract_z
Ca1 Ca 0.0000 0.0000 0.0000
Pr1 Pr 0.5000 0.5000 0.2816
Pr2 Pr 0.5000 0.5000 0.7184
Zr1 Zr 0.0000 0.0000 0.5000
```



## x
CaPr2Zr | PBE | optimized geometry

```
data_CaPr2Zr
_chemical_formula_sum 'Ca1 Pr2 Zr1'
_cell_length_a 12.2319
_cell_length_b 12.2319
_cell_length_c 12.2319
_cell_angle_alpha 16.76
_cell_angle_beta 16.76
_cell_angle_gamma 16.76
_symmetry_space_group_name_H-M 'P 1'
_symmetry_Int_Tables_number 1
_symmetry_space_group_name_Hall 'P 1'
loop_
_atom_site_label
_atom_site_type_symbol
_atom_site_fract_x
_atom_site_fract_y
_atom_site_fract_z
Ca1 Ca 0.0000 0.0000 0.0000
Pr1 Pr 0.5749 0.5749 0.5749
Pr2 Pr 0.7600 0.7600 0.7600
Zr1 Zr 0.1674 0.1674 0.1674
```



Ordering by calculated energy gives the sequence w, x, with the first entry being the most stable.



## w
CaPt4 | PBE | optimized geometry

```
data_CaPt4
_chemical_formula_sum 'Ca1 Pt4'
_cell_length_a 4.8168
_cell_length_b 4.8168
_cell_length_c 4.8168
_cell_angle_alpha 90.00
_cell_angle_beta 90.00
_cell_angle_gamma 90.00
_symmetry_space_group_name_H-M 'P 1'
_symmetry_Int_Tables_number 1
_symmetry_space_group_name_Hall 'P 1'
loop_
_atom_site_label
_atom_site_type_symbol
_atom_site_fract_x
_atom_site_fract_y
_atom_site_fract_z
Ca1 Ca 0.0000 0.0000 0.0000
Pt1 Pt 0.0000 0.0000 0.5000
Pt2 Pt 0.0000 0.5000 0.0000
Pt3 Pt 0.5000 0.0000 0.0000
Pt4 Pt 0.5000 0.5000 0.5000
```



## x
CaPt4 | PBE | optimized geometry

```
data_CaPt4
_chemical_formula_sum 'Ca1 Pt4'
_cell_length_a 4.9810
_cell_length_b 4.9810
_cell_length_c 4.9810
_cell_angle_alpha 100.38
_cell_angle_beta 100.38
_cell_angle_gamma 129.77
_symmetry_space_group_name_H-M 'P 1'
_symmetry_Int_Tables_number 1
_symmetry_space_group_name_Hall 'P 1'
loop_
_atom_site_label
_atom_site_type_symbol
_atom_site_fract_x
_atom_site_fract_y
_atom_site_fract_z
Ca1 Ca 0.0000 0.0000 0.0000
Pt1 Pt 0.1934 0.5898 0.7832
Pt2 Pt 0.4102 0.1934 0.6037
Pt3 Pt 0.5898 0.8066 0.3963
Pt4 Pt 0.8066 0.4102 0.2168
```



Ordering by calculated energy gives the sequence x, w, with the first entry being the most stable.



## w
CaPt6 | PBE | optimized geometry

```
data_CaPt6
_chemical_formula_sum 'Ca4 Pt24'
_cell_length_a 8.7516
_cell_length_b 5.4277
_cell_length_c 10.5746
_cell_angle_alpha 90.00
_cell_angle_beta 90.00
_cell_angle_gamma 90.00
_symmetry_space_group_name_H-M 'P 1'
_symmetry_Int_Tables_number 1
_symmetry_space_group_name_Hall 'P 1'
loop_
_atom_site_label
_atom_site_type_symbol
_atom_site_fract_x
_atom_site_fract_y
_atom_site_fract_z
Ca1 Ca 0.2416 0.2500 0.0586
Ca2 Ca 0.2584 0.7500 0.5586
Ca3 Ca 0.7416 0.2500 0.4414
Ca4 Ca 0.7584 0.7500 0.9414
Pt1 Pt 0.0656 0.0055 0.3034
Pt2 Pt 0.0656 0.4945 0.3034
Pt3 Pt 0.0732 0.7500 0.0791
Pt4 Pt 0.1134 0.2500 0.5206
Pt5 Pt 0.1600 0.7500 0.8379
Pt6 Pt 0.1765 0.2500 0.7764
Pt7 Pt 0.3235 0.7500 0.2764
Pt8 Pt 0.3400 0.2500 0.3379
Pt9 Pt 0.3866 0.7500 0.0206
Pt10 Pt 0.4268 0.2500 0.5791
Pt11 Pt 0.4344 0.5055 0.8034
Pt12 Pt 0.4344 0.9945 0.8034
Pt13 Pt 0.5656 0.0055 0.1966
Pt14 Pt 0.5656 0.4945 0.1966
Pt15 Pt 0.5732 0.7500 0.4209
Pt16 Pt 0.6134 0.2500 0.9794
Pt17 Pt 0.6600 0.7500 0.6621
Pt18 Pt 0.6765 0.2500 0.7236
Pt19 Pt 0.8235 0.7500 0.2236
Pt20 Pt 0.8400 0.2500 0.1621
Pt21 Pt 0.8866 0.7500 0.4794
Pt22 Pt 0.9268 0.2500 0.9209
Pt23 Pt 0.9344 0.5055 0.6966
Pt24 Pt 0.9344 0.9945 0.6966
```



## x
CaPt6 | PBE | optimized geometry

```
data_CaPt6
_chemical_formula_sum 'Ca1 Pt6'
_cell_length_a 6.1089
_cell_length_b 6.1089
_cell_length_c 6.1089
_cell_angle_alpha 109.47
_cell_angle_beta 109.47
_cell_angle_gamma 109.47
_symmetry_space_group_name_H-M 'P 1'
_symmetry_Int_Tables_number 1
_symmetry_space_group_name_Hall 'P 1'
loop_
_atom_site_label
_atom_site_type_symbol
_atom_site_fract_x
_atom_site_fract_y
_atom_site_fract_z
Ca1 Ca 0.0000 0.0000 0.0000
Pt1 Pt 0.2500 0.5000 0.7500
Pt2 Pt 0.2500 0.7500 0.5000
Pt3 Pt 0.5000 0.2500 0.7500
Pt4 Pt 0.5000 0.7500 0.2500
Pt5 Pt 0.7500 0.2500 0.5000
Pt6 Pt 0.7500 0.5000 0.2500
```



Ordering by calculated energy gives the sequence w, x, with the first entry being the most stable.



## w
Ca7Pt5 | PBE | optimized geometry

```
data_Ca7Pt5
_chemical_formula_sum 'Ca7 Pt5'
_cell_length_a 5.6703
_cell_length_b 5.6703
_cell_length_c 10.8568
_cell_angle_alpha 90.00
_cell_angle_beta 90.00
_cell_angle_gamma 119.44
_symmetry_space_group_name_H-M 'P 1'
_symmetry_Int_Tables_number 1
_symmetry_space_group_name_Hall 'P 1'
loop_
_atom_site_label
_atom_site_type_symbol
_atom_site_fract_x
_atom_site_fract_y
_atom_site_fract_z
Ca1 Ca 0.0000 0.0000 0.0000
Ca2 Ca 0.0000 0.0000 0.3114
Ca3 Ca 0.0000 0.0000 0.6886
Ca4 Ca 0.0000 0.5000 0.4204
Ca5 Ca 0.0000 0.5000 0.8645
Ca6 Ca 0.5000 0.0000 0.1355
Ca7 Ca 0.5000 0.0000 0.5796
Pt1 Pt 0.0000 0.5000 0.1607
Pt2 Pt 0.5000 0.0000 0.8393
Pt3 Pt 0.5000 0.5000 0.0000
Pt4 Pt 0.5000 0.5000 0.2468
Pt5 Pt 0.5000 0.5000 0.7532
```



## x
Ca7Pt5 | PBE | optimized geometry

```
data_Ca7Pt5
_chemical_formula_sum 'Ca7 Pt5'
_cell_length_a 5.6015
_cell_length_b 9.7432
_cell_length_c 5.6566
_cell_angle_alpha 90.00
_cell_angle_beta 112.33
_cell_angle_gamma 90.00
_symmetry_space_group_name_H-M 'P 1'
_symmetry_Int_Tables_number 1
_symmetry_space_group_name_Hall 'P 1'
loop_
_atom_site_label
_atom_site_type_symbol
_atom_site_fract_x
_atom_site_fract_y
_atom_site_fract_z
Ca1 Ca 0.0000 0.0000 0.0000
Ca2 Ca 0.0000 0.1293 0.5000
Ca3 Ca 0.0000 0.4531 0.5000
Ca4 Ca 0.0000 0.6188 0.0000
Ca5 Ca 0.5000 0.3885 0.0000
Ca6 Ca 0.5000 0.6796 0.5000
Ca7 Ca 0.5000 0.8357 0.0000
Pt1 Pt 0.0000 0.3170 0.0000
Pt2 Pt 0.0000 0.7584 0.5000
Pt3 Pt 0.5000 0.0085 0.5000
Pt4 Pt 0.5000 0.1069 0.0000
Pt5 Pt 0.5000 0.3106 0.5000
```



Ordering by calculated energy gives the sequence x, w, with the first entry being the most stable.



## w
Ca5Pt4 | PBE | optimized geometry

```
data_Ca5Pt4
_chemical_formula_sum 'Ca5 Pt4'
_cell_length_a 6.8684
_cell_length_b 6.8684
_cell_length_c 6.8684
_cell_angle_alpha 97.04
_cell_angle_beta 97.04
_cell_angle_gamma 139.02
_symmetry_space_group_name_H-M 'P 1'
_symmetry_Int_Tables_number 1
_symmetry_space_group_name_Hall 'P 1'
loop_
_atom_site_label
_atom_site_type_symbol
_atom_site_fract_x
_atom_site_fract_y
_atom_site_fract_z
Ca1 Ca 0.0000 0.0000 0.0000
Ca2 Ca 0.3186 0.3186 0.6372
Ca3 Ca 0.3186 0.6814 0.0000
Ca4 Ca 0.6814 0.3186 0.0000
Ca5 Ca 0.6814 0.6814 0.3628
Pt1 Pt 0.0000 0.3426 0.3426
Pt2 Pt 0.0000 0.6574 0.6574
Pt3 Pt 0.3426 0.0000 0.3426
Pt4 Pt 0.6574 0.0000 0.6574
```



## x
Ca5Pt4 | PBE | optimized geometry

```
data_Ca5Pt4
_chemical_formula_sum 'Ca5 Pt4'
_cell_length_a 5.7417
_cell_length_b 5.7417
_cell_length_c 10.2789
_cell_angle_alpha 110.49
_cell_angle_beta 110.49
_cell_angle_gamma 44.20
_symmetry_space_group_name_H-M 'P 1'
_symmetry_Int_Tables_number 1
_symmetry_space_group_name_Hall 'P 1'
loop_
_atom_site_label
_atom_site_type_symbol
_atom_site_fract_x
_atom_site_fract_y
_atom_site_fract_z
Ca1 Ca 0.0000 0.0000 0.0000
Ca2 Ca 0.1062 0.1062 0.3960
Ca3 Ca 0.2472 0.2472 0.8240
Ca4 Ca 0.7528 0.7528 0.1760
Ca5 Ca 0.8938 0.8938 0.6040
Pt1 Pt 0.3855 0.3855 0.3827
Pt2 Pt 0.4448 0.4448 0.1508
Pt3 Pt 0.5552 0.5552 0.8492
Pt4 Pt 0.6145 0.6145 0.6173
```



Ordering by calculated energy gives the sequence x, w, with the first entry being the most stable.